Entry 1:
TbNdTlTe3 | PBE-GGA | optimized geometry

```
TbNdTlTe3
1.0
2.2760 -7.7045 0.0000
2.2760 7.7045 0.0000
0.0000 0.0000 12.2752
Tl Te Nd Tb
2 6 2 2
Direct
0.2436 0.7564 0.2500
0.7564 0.2436 0.7500
0.8543 0.1457 0.0350
0.5658 0.4342 0.2500
0.1457 0.8543 0.5350
0.1457 0.8543 0.9650
0.8543 0.1457 0.4650
0.4342 0.5658 0.7500
0.5000 0.5000 0.0000
0.5000 0.5000 0.5000
0.0612 0.9388 0.7500
0.9388 0.0612 0.2500
```

Values from the calculation:
As for the space-group type: Cmcm, No. 63.



Entry 2:
ZrPb | PBE-GGA | optimized geometry

```
ZrPb
1.0
-1.2677 1.9751 5.0120
-9.5867 -0.3597 -2.2833
-0.2682 -5.0480 1.9214
Pb Zr
6 6
Direct
0.4713 0.1641 0.0000
0.8797 0.1422 0.5000
0.9712 0.6693 0.0000
0.3797 0.6911 0.5000
0.3266 0.3455 0.5000
0.8266 0.4878 0.5000
0.4858 0.5041 0.0000
0.9491 0.9971 0.0000
0.4491 0.8363 0.0000
0.9858 0.3292 0.0000
0.3875 0.0023 0.5000
0.8876 0.8310 0.5000
```

Values from the calculation:
As for the space-group type: Pmc2_1, No. 26.



| no. | total energy (Ry per atom) |
| --- | --- |
| 1 | -0.3319 |
| 2 | -0.4518 |